Hg4AsBr2: relaxed, PBE-GGA.

```
Hg4AsBr2
1.0
0.183 -3.005 -4.240
3.804 -2.800 2.175
-9.127 -3.502 5.264
As Hg Br
1 4 2
Direct
0.000 0.000 0.000 As
0.254 0.254 0.508 Hg
0.746 0.746 0.492 Hg
0.000 0.500 0.000 Hg
0.500 0.000 0.000 Hg
0.409 0.409 0.818 Br
0.591 0.591 0.182 Br
```

- space-group type = Fmmm, No. 69
- total energy (eV per atom) = -1.25